Entry from the Alexandria database: an optimized crystal structure of CaY2Br (PBE-GGA).

Its space-group type is No. 44. The energy above the lowest structure with this stoichiometry is 199 meV/atom. The formation energy from raw total energies comes out at -0.348 eV per atom.

The structure in CIF format:
```
data_CaY2Br
_chemical_formula_sum 'Ca2 Y4 Br2'
_space_group_name_H-M_alt 'P 1'
_space_group_IT_number 1
_space_group_name_Hall 'P 1'
_cell_length_a 3.583
_cell_length_b 6.200
_cell_length_c 11.459
_cell_angle_alpha 90.00
_cell_angle_beta 90.00
_cell_angle_gamma 90.00
loop_
_atom_site_label
_atom_site_fract_x
_atom_site_fract_y
_atom_site_fract_z
_atom_site_occupancy
Ca1 0.000 0.000 0.000 1
Ca2 0.500 0.500 0.500 1
Y1 0.000 0.000 0.433 1
Y2 0.000 0.500 0.196 1
Y3 0.500 0.000 0.696 1
Y4 0.500 0.500 0.933 1
Br1 0.000 0.500 0.722 1
Br2 0.500 0.000 0.222 1
```